Entry 1:
A plane-wave DFT calculation with PBE was carried out for a relaxed Sr2TaPt crystal.

Lattice parameters (Å, degrees): 4.3445 4.3445 10.3010 90.00 90.00 90.00
Space group I4/mmm (No. 139)
Symmetry-distinct sites (fractional):
1 Sr 0.0000 0.5000 0.2500 x4
2 Ta 0.0000 0.0000 0.0000 x2
3 Pt 0.0000 0.0000 0.5000 x2

Values from the calculation:
The density of states at the Fermi level comes out at 11.63 states/eV/cell. Its crystal system is tetragonal. The calculation puts the excess energy over the best structure of this formula in the dataset at 595 meV/atom.



Entry 2:
A plane-wave DFT calculation with PBE was carried out for a relaxed SrTaPt crystal.

Lattice parameters (Å, degrees): 3.7110 4.4207 18.0315 90.00 90.00 90.00
Space group Immm (No. 71)
Symmetry-distinct sites (fractional):
1 Sr 0.0000 0.0000 0.1717 x4
2 Ta 0.0000 0.5000 0.0000 x2
3 Ta 0.0000 0.5000 0.5000 x2
4 Pt 0.0000 0.0000 0.3924 x4

Values from the calculation:
The density of states at the Fermi level comes out at 10.15 states/eV/cell. Its crystal system is orthorhombic. The calculation puts the excess energy over the best structure of this formula in the dataset at 22 meV/atom.



Entry 3:
A plane-wave DFT calculation with PBE was carried out for a relaxed Sr2TaPt crystal.

Lattice parameters (Å, degrees): 3.5490 3.5490 9.5514 90.00 90.00 90.00
Space group P4mm (No. 99)
Symmetry-distinct sites (fractional):
1 Sr 0.0000 0.0000 0.0000 x1
2 Sr 0.5000 0.5000 0.3789 x1
3 Ta 0.0000 0.0000 0.6534 x1
4 Pt 0.5000 0.5000 0.7471 x1

Values from the calculation:
The density of states at the Fermi level comes out at 4.48 states/eV/cell. Its crystal system is tetragonal. The calculation puts the excess energy over the best structure of this formula in the dataset at 0 meV/atom.



Entry 4:
A plane-wave DFT calculation with PBE was carried out for a relaxed Sr2TaPt crystal.

Lattice parameters (Å, degrees): 3.5870 4.5758 6.2513 90.00 90.29 90.00
Space group P2/m (No. 10)
Symmetry-distinct sites (fractional):
1 Sr 0.0029 0.0000 0.2626 x2
2 Ta 0.5000 0.5000 0.0000 x1
3 Pt 0.5000 0.5000 0.5000 x1

Values from the calculation:
The density of states at the Fermi level comes out at 5.16 states/eV/cell. Its crystal system is monoclinic. The calculation puts the excess energy over the best structure of this formula in the dataset at 547 meV/atom.



Entry 5:
A plane-wave DFT calculation with PBE was carried out for a relaxed Sr2TaPt crystal.

Lattice parameters (Å, degrees): 7.3054 7.3054 7.3054 90.00 90.00 90.00
Space group F-43m (No. 216)
Symmetry-distinct sites (fractional):
1 Sr 0.0000 0.0000 0.0000 x4
2 Sr 0.2500 0.2500 0.2500 x4
3 Ta 0.0000 0.0000 0.5000 x4
4 Pt 0.2500 0.2500 0.7500 x4

Values from the calculation:
The density of states at the Fermi level comes out at 19.19 states/eV/cell. Its crystal system is cubic. The calculation puts the excess energy over the best structure of this formula in the dataset at 614 meV/atom.



Entry 6:
A plane-wave DFT calculation with PBE was carried out for a relaxed Sr2TaPt crystal.

Lattice parameters (Å, degrees): 3.2128 3.4200 9.5256 90.00 90.00 90.00
Space group Pmmm (No. 47)
Symmetry-distinct sites (fractional):
1 Sr 0.0000 0.0000 0.2136 x2
2 Ta 0.5000 0.5000 0.5000 x1
3 Pt 0.5000 0.5000 0.0000 x1

Values from the calculation:
The density of states at the Fermi level comes out at 4.99 states/eV/cell. Its crystal system is orthorhombic. The calculation puts the excess energy over the best structure of this formula in the dataset at 380 meV/atom.



Entry 7:
A plane-wave DFT calculation with PBE was carried out for a relaxed Sr2TaPt crystal.

Lattice parameters (Å, degrees): 7.6309 7.6309 7.6309 90.00 90.00 90.00
Space group Fm-3m (No. 225)
Symmetry-distinct sites (fractional):
1 Sr 0.2500 0.2500 0.2500 x8
2 Ta 0.0000 0.0000 0.0000 x4
3 Pt 0.0000 0.0000 0.5000 x4

Values from the calculation:
The density of states at the Fermi level comes out at 18.62 states/eV/cell. Its crystal system is cubic. The calculation puts the excess energy over the best structure of this formula in the dataset at 662 meV/atom.



Entry 8:
A plane-wave DFT calculation with PBE was carried out for a relaxed Sr2TaPt crystal.

Lattice parameters (Å, degrees): 5.7762 3.1306 6.1798 90.00 117.12 90.00
Space group P2/m (No. 10)
Symmetry-distinct sites (fractional):
1 Sr 0.0000 0.0000 0.0000 x1
2 Sr 0.0000 0.5000 0.5000 x1
3 Ta 0.5000 0.0000 0.5000 x1
4 Pt 0.5000 0.5000 0.0000 x1

Values from the calculation:
The density of states at the Fermi level comes out at 3.61 states/eV/cell. Its crystal system is monoclinic. The calculation puts the excess energy over the best structure of this formula in the dataset at 702 meV/atom.